No. 1
VASP calculation (PBE) on a geometry-optimized LiSeN3 structure.

Results
The value obtained for the density of states at the Fermi level is 3.02 states/eV/cell. As for the electronic total energy: -4.423 eV/atom.

CIF file:
```
data_LiSeN3
_cell_length_a 3.7446
_cell_length_b 3.7446
_cell_length_c 3.7446
_cell_angle_alpha 90.00
_cell_angle_beta 90.00
_cell_angle_gamma 90.00
_symmetry_space_group_name_H-M 'P m -3 m'
_symmetry_Int_Tables_number 221
_symmetry_space_group_name_Hall '-P 4 2 3'
loop_
_atom_site_label
_atom_site_type_symbol
_atom_site_fract_x
_atom_site_fract_y
_atom_site_fract_z
_atom_site_occupancy
Li1 Li 0.0000 0.0000 0.0000 1
Se1 Se 0.5000 0.5000 0.5000 1
N1 N 0.0000 0.5000 0.5000 1
```

***

No. 2
VASP calculation (PBE) on a geometry-optimized Li3SeN structure.

Results
The value obtained for the density of states at the Fermi level is 3.43 states/eV/cell. As for the electronic total energy: -3.383 eV/atom.

CIF file:
```
data_Li3SeN
_cell_length_a 4.7249
_cell_length_b 4.7249
_cell_length_c 4.7249
_cell_angle_alpha 90.00
_cell_angle_beta 90.00
_cell_angle_gamma 90.00
_symmetry_space_group_name_H-M 'P m -3 m'
_symmetry_Int_Tables_number 221
_symmetry_space_group_name_Hall '-P 4 2 3'
loop_
_atom_site_label
_atom_site_type_symbol
_atom_site_fract_x
_atom_site_fract_y
_atom_site_fract_z
_atom_site_occupancy
Li1 Li 0.0000 0.0000 0.5000 1
Se1 Se 0.0000 0.0000 0.0000 1
N1 N 0.5000 0.5000 0.5000 1
```

***

No. 3
VASP calculation (PBE) on a geometry-optimized Li8Se2N structure.

Results
The value obtained for the density of states at the Fermi level is 4.86 states/eV/cell. As for the electronic total energy: -3.501 eV/atom.

CIF file:
```
data_Li8Se2N
_cell_length_a 3.9404
_cell_length_b 5.2395
_cell_length_c 15.4455
_cell_angle_alpha 90.00
_cell_angle_beta 90.00
_cell_angle_gamma 90.00
_symmetry_space_group_name_H-M 'I m m m'
_symmetry_Int_Tables_number 71
_symmetry_space_group_name_Hall '-I 2 2'
loop_
_atom_site_label
_atom_site_type_symbol
_atom_site_fract_x
_atom_site_fract_y
_atom_site_fract_z
_atom_site_occupancy
Li1 Li 0.0000 0.0000 0.2282 1
Li2 Li 0.0000 0.2132 0.0000 1
Li3 Li 0.0000 0.2567 0.4032 1
Se1 Se 0.0000 0.5000 0.1588 1
N1 N 0.0000 0.5000 0.5000 1
```

***

No. 4
VASP calculation (PBE) on a geometry-optimized Li6SeN4 structure.

Results
The value obtained for the density of states at the Fermi level is 0.00 states/eV/cell. As for the electronic total energy: -4.702 eV/atom.

CIF file:
```
data_Li6SeN4
_cell_length_a 6.5641
_cell_length_b 6.5641
_cell_length_c 4.8975
_cell_angle_alpha 90.00
_cell_angle_beta 90.00
_cell_angle_gamma 90.00
_symmetry_space_group_name_H-M 'P 42/n m c'
_symmetry_Int_Tables_number 137
loop_
_symmetry_equiv_pos_as_xyz
'x,y,z'
'-x,-y,-z'
'-y+1/2,x,z+1/2'
'y+1/2,-x,-z+1/2'
'-x+1/2,-y+1/2,z'
'x+1/2,y+1/2,-z'
'y,-x+1/2,z+1/2'
'-y,x+1/2,-z+1/2'
'x+1/2,-y,-z'
'-x+1/2,y,z'
'-y,-x,-z+1/2'
'y,x,z+1/2'
'-x,y+1/2,-z'
'x,-y+1/2,z'
'y+1/2,x+1/2,-z+1/2'
'-y+1/2,-x+1/2,z+1/2'
loop_
_atom_site_label
_atom_site_type_symbol
_atom_site_fract_x
_atom_site_fract_y
_atom_site_fract_z
_atom_site_occupancy
Li1 Li 0.0372 0.5372 0.2500 1
Li2 Li 0.2500 0.2500 0.1425 1
Se1 Se 0.2500 0.7500 0.7500 1
N1 N 0.0147 0.7500 0.5614 1
```

***

No. 5
VASP calculation (PBE) on a geometry-optimized LiSiSeN2 structure.

Results
The value obtained for the density of states at the Fermi level is 3.55 states/eV/cell. As for the electronic total energy: -3.841 eV/atom.

CIF file:
```
data_LiSiSeN2
_cell_length_a 3.6953
_cell_length_b 3.6953
_cell_length_c 5.0182
_cell_angle_alpha 90.00
_cell_angle_beta 90.00
_cell_angle_gamma 90.00
_symmetry_space_group_name_H-M 'P 4/m m m'
_symmetry_Int_Tables_number 123
_symmetry_space_group_name_Hall '-P 4 2'
loop_
_atom_site_label
_atom_site_type_symbol
_atom_site_fract_x
_atom_site_fract_y
_atom_site_fract_z
_atom_site_occupancy
Li1 Li 0.0000 0.0000 0.0000 1
Si1 Si 0.5000 0.5000 0.5000 1
Se1 Se 0.0000 0.0000 0.5000 1
N1 N 0.0000 0.5000 0.0000 1
```

***

No. 6
VASP calculation (PBE) on a geometry-optimized LiSiSeN2 structure.

Results
The value obtained for the density of states at the Fermi level is 3.10 states/eV/cell. As for the electronic total energy: -5.258 eV/atom.

CIF file:
```
data_LiSiSeN2
_cell_length_a 3.4765
_cell_length_b 3.4765
_cell_length_c 5.7198
_cell_angle_alpha 90.00
_cell_angle_beta 90.00
_cell_angle_gamma 90.00
_symmetry_space_group_name_H-M 'P 4/m m m'
_symmetry_Int_Tables_number 123
_symmetry_space_group_name_Hall '-P 4 2'
loop_
_atom_site_label
_atom_site_type_symbol
_atom_site_fract_x
_atom_site_fract_y
_atom_site_fract_z
_atom_site_occupancy
Li1 Li 0.0000 0.0000 0.0000 1
Si1 Si 0.5000 0.5000 0.5000 1
Se1 Se 0.5000 0.5000 0.0000 1
N1 N 0.0000 0.5000 0.5000 1
```

***

No. 7
VASP calculation (PBE) on a geometry-optimized Li2SmSeN structure.

Results
The value obtained for the density of states at the Fermi level is 5.49 states/eV/cell. As for the electronic total energy: -5.182 eV/atom.

CIF file:
```
data_Li2SmSeN
_cell_length_a 5.9488
_cell_length_b 5.9488
_cell_length_c 9.4807
_cell_angle_alpha 90.00
_cell_angle_beta 90.00
_cell_angle_gamma 90.00
_symmetry_space_group_name_H-M 'I 4/m c m'
_symmetry_Int_Tables_number 140
_symmetry_space_group_name_Hall '-I 4 2c'
loop_
_atom_site_label
_atom_site_type_symbol
_atom_site_fract_x
_atom_site_fract_y
_atom_site_fract_z
_atom_site_occupancy
Li1 Li 0.1924 0.3076 0.0000 1
Sm1 Sm 0.0000 0.0000 0.2500 1
Se1 Se 0.0000 0.5000 0.2500 1
N1 N 0.0000 0.0000 0.0000 1
```

***

No. 8
VASP calculation (PBE) on a geometry-optimized LiSnSeN2 structure.

Results
The value obtained for the density of states at the Fermi level is 2.44 states/eV/cell. As for the electronic total energy: -3.885 eV/atom.

CIF file:
```
data_LiSnSeN2
_cell_length_a 4.1748
_cell_length_b 4.1748
_cell_length_c 4.8881
_cell_angle_alpha 90.00
_cell_angle_beta 90.00
_cell_angle_gamma 90.00
_symmetry_space_group_name_H-M 'P 4/m m m'
_symmetry_Int_Tables_number 123
_symmetry_space_group_name_Hall '-P 4 2'
loop_
_atom_site_label
_atom_site_type_symbol
_atom_site_fract_x
_atom_site_fract_y
_atom_site_fract_z
_atom_site_occupancy
Li1 Li 0.0000 0.0000 0.0000 1
Sn1 Sn 0.5000 0.5000 0.5000 1
Se1 Se 0.0000 0.0000 0.5000 1
N1 N 0.0000 0.5000 0.0000 1
```

***

In μB/f.u., the total moment values for the records above are, in order, 0.00, 2.00, 0.22, 0.00, 1.84, 0.00, 0.00, 4.56.